# 1
# BeNbH PBE optimized geometry
# - space group = No. 194
# - energy above the most stable polymorph in this dataset (meV/atom) = 1175
# - D(E_F) (states/eV per cell) = 3.65
data_BeNbH
_cell_length_a 2.775
_cell_length_b 2.775
_cell_length_c 10.340
_cell_angle_alpha 90.00
_cell_angle_beta 90.00
_cell_angle_gamma 120.00
_symmetry_space_group_name_H-M 'P 1'
_symmetry_Int_Tables_number 1
loop_
_symmetry_equiv_pos_as_xyz
'x,y,z'
loop_
_atom_site_label
_atom_site_fract_x
_atom_site_fract_y
_atom_site_fract_z
H1 0.667 0.333 0.750
H2 0.333 0.667 0.250
Nb1 0.000 0.000 0.000
Nb2 0.000 0.000 0.500
Be1 0.000 0.000 0.750
Be2 0.000 0.000 0.250

=====

# 2
# CsRb3Na8 PBE optimized geometry
# - space group = No. 156
# - D(E_F) (states/eV per cell) = 6.23
# - ΔE_f (eV per atom) = 0.005
data_CsRb3Na8
_cell_length_a 7.614
_cell_length_b 7.614
_cell_length_c 12.649
_cell_angle_alpha 90.00
_cell_angle_beta 90.00
_cell_angle_gamma 120.00
_symmetry_space_group_name_H-M 'P 1'
_symmetry_Int_Tables_number 1
loop_
_symmetry_equiv_pos_as_xyz
'x,y,z'
loop_
_atom_site_label
_atom_site_fract_x
_atom_site_fract_y
_atom_site_fract_z
Rb1 0.667 0.333 0.062
Rb2 0.667 0.333 0.435
Rb3 0.000 0.000 0.940
Na1 0.168 0.335 0.248
Na2 0.333 0.667 0.999
Na3 0.500 0.999 0.753
Na4 0.001 0.500 0.753
Na5 0.168 0.832 0.248
Na6 0.500 0.500 0.753
Na7 0.333 0.667 0.499
Na8 0.665 0.832 0.248
Cs1 0.000 0.000 0.563

=====

# 3
# ReNiSb PBE optimized geometry
# - space group = No. 38
# - energy above the most stable polymorph in this dataset (meV/atom) = 125
# - D(E_F) (states/eV per cell) = 6.66
# - formation energy from raw total energies (kcal/mol of atoms) = 13.5
data_ReNiSb
_cell_length_a 3.115
_cell_length_b 3.085
_cell_length_c 12.025
_cell_angle_alpha 90.00
_cell_angle_beta 90.00
_cell_angle_gamma 120.33
_symmetry_space_group_name_H-M 'P 1'
_symmetry_Int_Tables_number 1
loop_
_symmetry_equiv_pos_as_xyz
'x,y,z'
loop_
_atom_site_label
_atom_site_fract_x
_atom_site_fract_y
_atom_site_fract_z
Ni1 0.555 0.111 0.000
Ni2 0.293 0.586 0.500
Re1 0.629 0.258 0.653
Re2 0.629 0.258 0.347
Sb1 0.280 0.560 0.175
Sb2 0.280 0.560 0.825

=====

# 4
# HfNpIrPd PBE optimized geometry
# - space group = No. 216
# - D(E_F) (states/eV per cell) = 9.59
# - ΔE_f (eV per atom) = -0.389
data_HfNpIrPd
_cell_length_a 4.783
_cell_length_b 4.783
_cell_length_c 4.783
_cell_angle_alpha 60.00
_cell_angle_beta 60.00
_cell_angle_gamma 60.00
_symmetry_space_group_name_H-M 'P 1'
_symmetry_Int_Tables_number 1
loop_
_symmetry_equiv_pos_as_xyz
'x,y,z'
loop_
_atom_site_label
_atom_site_fract_x
_atom_site_fract_y
_atom_site_fract_z
Pd1 0.500 0.500 0.500
Np1 0.250 0.250 0.250
Hf1 0.750 0.750 0.750
Ir1 0.000 0.000 0.000

=====

# 5
# RbMoRh3 PBE optimized geometry
# - space group = No. 221
# - energy above the most stable polymorph in this dataset (meV/atom) = 1895
# - D(E_F) (states/eV per cell) = 14.90
# - ΔE_f (eV per atom) = 2.759
data_RbMoRh3
_cell_length_a 4.691
_cell_length_b 4.691
_cell_length_c 4.691
_cell_angle_alpha 90.00
_cell_angle_beta 90.00
_cell_angle_gamma 90.00
_symmetry_space_group_name_H-M 'P 1'
_symmetry_Int_Tables_number 1
loop_
_symmetry_equiv_pos_as_xyz
'x,y,z'
loop_
_atom_site_label
_atom_site_fract_x
_atom_site_fract_y
_atom_site_fract_z
Mo1 0.500 0.500 0.500
Rh1 0.500 0.000 0.000
Rh2 0.000 0.000 0.500
Rh3 0.000 0.500 0.000
Rb1 0.000 0.000 0.000

=====

# 6
# LiRe3Ru PBE optimized geometry
# - space group = No. 221
# - energy above the most stable polymorph in this dataset (meV/atom) = 0
# - D(E_F) (states/eV per cell) = 3.57
# - ΔE_f (eV per atom) = 1.248
data_LiRe3Ru
_cell_length_a 4.104
_cell_length_b 4.104
_cell_length_c 4.104
_cell_angle_alpha 90.00
_cell_angle_beta 90.00
_cell_angle_gamma 90.00
_symmetry_space_group_name_H-M 'P 1'
_symmetry_Int_Tables_number 1
loop_
_symmetry_equiv_pos_as_xyz
'x,y,z'
loop_
_atom_site_label
_atom_site_fract_x
_atom_site_fract_y
_atom_site_fract_z
Ru1 0.500 0.500 0.500
Re1 0.500 0.000 0.000
Re2 0.000 0.000 0.500
Re3 0.000 0.500 0.000
Li1 0.000 0.000 0.000

=====

# 7
# MgZr2PtAu PBE optimized geometry
# - space group = No. 123
# - D(E_F) (states/eV per cell) = 5.41
# - ΔE_f (eV per atom) = 0.738
data_MgZr2PtAu
_cell_length_a 5.029
_cell_length_b 4.489
_cell_length_c 5.029
_cell_angle_alpha 90.00
_cell_angle_beta 90.00
_cell_angle_gamma 90.00
_symmetry_space_group_name_H-M 'P 1'
_symmetry_Int_Tables_number 1
loop_
_symmetry_equiv_pos_as_xyz
'x,y,z'
loop_
_atom_site_label
_atom_site_fract_x
_atom_site_fract_y
_atom_site_fract_z
Zr1 0.000 0.000 0.500
Zr2 0.500 0.000 0.000
Mg1 0.000 0.000 0.000
Au1 0.500 0.500 0.500
Pt1 0.000 0.500 0.000

=====

# 8
# La6CdCo3 PBE optimized geometry
# - space group = No. 11
# - D(E_F) (states/eV per cell) = 15.38
# - ΔE_f (eV per atom) = -0.128
data_La6CdCo3
_cell_length_a 4.014
_cell_length_b 12.123
_cell_length_c 12.322
_cell_angle_alpha 106.19
_cell_angle_beta 90.00
_cell_angle_gamma 90.00
_symmetry_space_group_name_H-M 'P 1'
_symmetry_Int_Tables_number 1
loop_
_symmetry_equiv_pos_as_xyz
'x,y,z'
loop_
_atom_site_label
_atom_site_fract_x
_atom_site_fract_y
_atom_site_fract_z
La1 0.750 0.188 0.460
La2 0.750 0.692 0.257
La3 0.750 0.497 0.621
La4 0.250 0.503 0.379
La5 0.250 0.071 0.902
La6 0.250 0.610 0.955
La7 0.750 0.787 0.796
La8 0.250 0.812 0.540
La9 0.250 0.308 0.743
La10 0.750 0.929 0.098
La11 0.250 0.213 0.204
La12 0.750 0.390 0.045
Cd1 0.750 0.046 0.669
Cd2 0.250 0.954 0.331
Co1 0.250 0.530 0.163
Co2 0.250 0.848 0.938
Co3 0.750 0.470 0.837
Co4 0.250 0.338 0.515
Co5 0.750 0.662 0.485
Co6 0.750 0.152 0.062

=====

V, respectively: 69, 635, 100, 77, 103, 69, 114, 576 Å³ per cell.